Material: Zr6Co2Ni
Method: DFT, PBE-GGA
State: relaxed

Output
density: 7.03 g cm⁻³
raw total energy: -292.55 eV per cell
energy relative to the elements: -206 meV per atom

Cell lengths 8.5938, 8.7102, 9.1428 Å; angles 90.00, 90.00, 90.00 degrees
Space group Immm (No. 71)
Unique sites:
Zr1 0.0000 0.1914 0.2379 (multiplicity 8)
Zr2 0.2011 0.5000 0.1725 (multiplicity 8)
Zr3 0.2132 0.3189 0.5000 (multiplicity 8)
Co1 0.0000 0.3463 0.0000 (multiplicity 4)
Co2 0.0000 0.5000 0.3665 (multiplicity 4)
Ni1 0.0000 0.0000 0.0000 (multiplicity 2)
Ni2 0.0000 0.0000 0.5000 (multiplicity 2)

Material: MnVNi3
Method: DFT, PBE-GGA
State: relaxed

Output
density: 5.76 g cm⁻³
excess energy over the best structure of this formula in the dataset: 662 meV per atom
raw total energy: -65.68 eV per cell
energy relative to the elements: 559 meV per atom

Cell lengths 8.3548, 4.8264, 4.9026 Å; angles 90.00, 124.73, 90.00 degrees
Space group C2/m (No. 12)
Unique sites:
Mn1 0.0000 0.0000 0.0000 (multiplicity 2)
V1 0.0000 0.5000 0.5000 (multiplicity 2)
Ni1 0.0000 0.0000 0.5000 (multiplicity 2)
Ni2 0.2500 0.2500 0.5000 (multiplicity 4)

Material: Ni5Ru
Method: DFT, PBE-GGA
State: relaxed

Output
density: 9.46 g cm⁻³
excess energy over the best structure of this formula in the dataset: 11 meV per atom
raw total energy: -75.33 eV per cell
energy relative to the elements: 86 meV per atom

Cell lengths 9.3517, 2.5520, 6.0154 Å; angles 90.00, 105.29, 90.00 degrees
Space group Cm (No. 8)
Unique sites:
Ni1 0.0000 0.0000 0.0000 (multiplicity 2)
Ni2 0.0539 0.0000 0.6022 (multiplicity 2)
Ni3 0.1678 0.5000 0.3343 (multiplicity 2)
Ni4 0.3347 0.0000 0.6595 (multiplicity 2)
Ni5 0.3893 0.0000 0.2765 (multiplicity 2)
Ru1 0.2209 0.5000 0.9380 (multiplicity 2)

Material: Y2Cu3Si
Method: DFT, PBE-GGA
State: relaxed

Output
density: 5.87 g cm⁻³
raw total energy: -266.06 eV per cell
E_form (uncorrected): -0.44 eV/atom

Cell lengths 7.2945, 8.4328, 14.5876 Å; angles 90.00, 90.00, 90.00 degrees
Space group Fmmm (No. 69)
Unique sites:
Y1 0.2401 0.0000 0.0000 (multiplicity 8)
Y2 0.2500 0.2500 0.2500 (multiplicity 8)
Cu1 0.0000 0.0000 0.1702 (multiplicity 8)
Cu2 0.0000 0.2443 0.4155 (multiplicity 16)
Si1 0.0000 0.0000 0.3350 (multiplicity 8)

Material: TlCo2Tc
Method: DFT, PBE-GGA
State: relaxed

Output
density: 12.10 g cm⁻³
excess energy over the best structure of this formula in the dataset: 17 meV per atom
raw total energy: -25.23 eV per cell
energy relative to the elements: 428 meV per atom

Cell lengths 2.8160, 3.5445, 5.7803 Å; angles 90.00, 90.00, 90.00 degrees
Space group Pmmm (No. 47)
Unique sites:
Tl1 0.0000 0.0000 0.0000 (multiplicity 1)
Co1 0.5000 0.5000 0.2916 (multiplicity 2)
Tc1 0.0000 0.0000 0.5000 (multiplicity 1)

Material: Nb2CoHRh
Method: DFT, PBE-GGA
State: relaxed

Output
density: 9.25 g cm⁻³
excess energy over the best structure of this formula in the dataset: 0 meV per atom
raw total energy: -39.13 eV per cell

Cell lengths 4.0664, 4.0664, 3.7870 Å; angles 90.00, 90.00, 90.00 degrees
Space group P4/mmm (No. 123)
Unique sites:
Nb1 0.0000 0.5000 0.0000 (multiplicity 2)
Co1 0.0000 0.0000 0.5000 (multiplicity 1)
H1 0.0000 0.0000 0.0000 (multiplicity 1)
Rh1 0.5000 0.5000 0.5000 (multiplicity 1)